[1]
Entry from Alexandria: Rb2InCoI6 after structural relaxation (PBE-GGA).

Cell lengths 8.2428, 8.2428, 8.2428 Å; angles 119.96, 119.96, 90.06 degrees
Closest atoms and distances in Å follow each position.
Positions (direct):
Rb (0.2500, 0.7500, 0.5000)  12 I 4.13
Rb (0.7500, 0.2500, 0.5000)  12 I 4.13
In (0.0000, 0.0000, 0.0000)  6 I 3.16-3.17
Co (0.5000, 0.5000, 0.0000)  6 I 2.66-2.67
I (0.2712, 0.2712, 0.0000)  1 Co 2.67
I (0.2717, 0.2717, 0.5434)  1 Co 2.66
I (0.2717, 0.7283, 0.0000)  1 Co 2.66
I (0.7283, 0.2717, 0.0000)  1 Co 2.66
I (0.7283, 0.7283, 0.4566)  1 Co 2.66
I (0.7288, 0.7288, 0.0000)  1 Co 2.67

* E_tot: -2.79 eV/atom

=====

[2]
Entry from Alexandria: RbInCoI2 after structural relaxation (PBE-GGA).

Cell lengths 6.5314, 6.5314, 5.0489 Å; angles 90.00, 90.00, 90.00 degrees
Closest atoms and distances in Å follow each position.
Positions (direct):
Rb (0.0000, 0.0000, 0.0000)  8 I 4.13, 4 Co 4.62
In (0.5000, 0.5000, 0.5000)  2 Co 2.52
Co (0.5000, 0.5000, 0.0000)  2 In 2.52
I (0.0000, 0.5000, 0.5000)  2 In 3.27
I (0.5000, 0.0000, 0.5000)  2 In 3.27

* E_tot: -2.86 eV/atom

=====

[3]
Entry from Alexandria: In2CoSbI after structural relaxation (PBE-GGA).

Cell lengths 5.2270, 5.2270, 4.8179 Å; angles 90.00, 90.00, 90.00 degrees
Closest atoms and distances in Å follow each position.
Positions (direct):
In (0.0000, 0.5000, 0.0000)  2 Co 2.61
In (0.5000, 0.0000, 0.0000)  2 Co 2.61
Co (0.0000, 0.0000, 0.0000)  2 Sb 2.41, 4 In 2.61
Sb (0.0000, 0.0000, 0.5000)  2 Co 2.41
I (0.5000, 0.5000, 0.5000)  8 In 3.55, 4 Sb 3.70

* E_tot: -3.71 eV/atom

=====

[4]
Entry from Alexandria: InCoSb2I after structural relaxation (PBE-GGA).

Cell lengths 4.9138, 4.9138, 5.9241 Å; angles 90.00, 90.00, 90.00 degrees
Closest atoms and distances in Å follow each position.
Positions (direct):
In (0.0000, 0.0000, 0.0000)  4 I 3.47, 8 Sb 3.85
Co (0.5000, 0.5000, 0.5000)  4 Sb 2.46
Sb (0.0000, 0.5000, 0.5000)  2 Co 2.46
Sb (0.5000, 0.0000, 0.5000)  2 Co 2.46
I (0.5000, 0.5000, 0.0000)  2 Co 2.96

* energy relative to the lowest polymorph listed for this composition: 0 meV/atom

=====

[5]
Entry from Alexandria: InCo2SbI after structural relaxation (PBE-GGA).

Cell lengths 4.6683, 4.6683, 6.3509 Å; angles 90.00, 90.00, 90.00 degrees
Closest atoms and distances in Å follow each position.
Positions (direct):
In (0.0000, 0.0000, 0.0000)  2 I 3.18, 4 Sb 3.30
Co (0.0000, 0.5000, 0.5000)  2 I 2.33
Co (0.5000, 0.0000, 0.5000)  2 I 2.33
Sb (0.5000, 0.5000, 0.0000)  4 In 3.30
I (0.0000, 0.0000, 0.5000)  4 Co 2.33

* E_tot: -3.40 eV/atom

=====

[6]
Entry from Alexandria: InCoSb2I after structural relaxation (PBE-GGA).

Cell lengths 5.6265, 5.6265, 5.8805 Å; angles 90.00, 90.00, 90.00 degrees
Closest atoms and distances in Å follow each position.
Positions (direct):
In (0.0000, 0.0000, 0.0000)  4 Sb 2.81, 2 I 2.94
Co (0.5000, 0.5000, 0.5000)  4 I 3.98, 8 Sb 4.07
Sb (0.0000, 0.5000, 0.0000)  2 In 2.81
Sb (0.5000, 0.0000, 0.0000)  2 In 2.81
I (0.0000, 0.0000, 0.5000)  2 In 2.94

* energy relative to the lowest polymorph listed for this composition: 954 meV/atom

=====

[7]
Entry from Alexandria: ScInCo2I after structural relaxation (PBE-GGA).

Cell lengths 4.6398, 4.6398, 5.2828 Å; angles 90.00, 90.00, 90.00 degrees
Closest atoms and distances in Å follow each position.
Positions (direct):
Sc (0.0000, 0.0000, 0.0000)  2 I 2.64
In (0.5000, 0.5000, 0.0000)  4 Sc 3.28, 8 Co 3.52
Co (0.0000, 0.5000, 0.5000)  2 I 2.32
Co (0.5000, 0.0000, 0.5000)  2 I 2.32
I (0.0000, 0.0000, 0.5000)  4 Co 2.32

* E_tot: -4.17 eV/atom

=====

[8]
Entry from Alexandria: InCoSeI2 after structural relaxation (PBE-GGA).

Cell lengths 5.9669, 5.9669, 5.1531 Å; angles 90.00, 90.00, 90.00 degrees
Closest atoms and distances in Å follow each position.
Positions (direct):
In (0.0000, 0.0000, 0.0000)  2 Se 2.58
Co (0.5000, 0.5000, 0.5000)  8 I 3.94, 4 Se 4.22
Se (0.0000, 0.0000, 0.5000)  2 In 2.58
I (0.0000, 0.5000, 0.0000)  2 In 2.98
I (0.5000, 0.0000, 0.0000)  2 In 2.98

* E_tot: -2.55 eV/atom

=====

[9]
Entry from Alexandria: InCoSn2I after structural relaxation (PBE-GGA).

Cell lengths 4.9984, 4.9984, 5.2211 Å; angles 90.00, 90.00, 90.00 degrees
Closest atoms and distances in Å follow each position.
Positions (direct):
In (0.0000, 0.0000, 0.0000)  2 Co 2.61
Co (0.0000, 0.0000, 0.5000)  4 Sn 2.50, 2 In 2.61
Sn (0.0000, 0.5000, 0.5000)  2 Co 2.50
Sn (0.5000, 0.0000, 0.5000)  2 Co 2.50
I (0.5000, 0.5000, 0.0000)  4 In 3.53, 8 Sn 3.61

* E_tot: -3.97 eV/atom

=====

[10]
Entry from Alexandria: TaInCo2I after structural relaxation (PBE-GGA).

Cell lengths 4.5295, 4.5295, 5.1661 Å; angles 90.00, 90.00, 90.00 degrees
Closest atoms and distances in Å follow each position.
Positions (direct):
Ta (0.0000, 0.0000, 0.0000)  2 I 2.58
In (0.5000, 0.5000, 0.0000)  4 Ta 3.20, 8 Co 3.44
Co (0.0000, 0.5000, 0.5000)  2 I 2.26
Co (0.5000, 0.0000, 0.5000)  2 I 2.26
I (0.0000, 0.0000, 0.5000)  4 Co 2.26

* E_tot: -4.68 eV/atom

=====

[11]
Entry from Alexandria: InCoTe2I after structural relaxation (PBE-GGA).

Cell lengths 5.6936, 5.6936, 5.8356 Å; angles 90.00, 90.00, 90.00 degrees
Closest atoms and distances in Å follow each position.
Positions (direct):
In (0.0000, 0.0000, 0.0000)  4 Te 2.85, 2 I 2.92
Co (0.5000, 0.5000, 0.5000)  4 I 4.03, 8 Te 4.08
Te (0.0000, 0.5000, 0.0000)  2 In 2.85
Te (0.5000, 0.0000, 0.0000)  2 In 2.85
I (0.0000, 0.0000, 0.5000)  2 In 2.92

* energy relative to the lowest polymorph listed for this composition: 797 meV/atom

=====

[12]
Entry from Alexandria: InCoTe2I after structural relaxation (PBE-GGA).

Cell lengths 5.7443, 5.7443, 5.0889 Å; angles 90.00, 90.00, 90.00 degrees
Closest atoms and distances in Å follow each position.
Positions (direct):
In (0.0000, 0.0000, 0.0000)  2 Co 2.54
Co (0.0000, 0.0000, 0.5000)  2 In 2.54
Te (0.0000, 0.5000, 0.0000)  2 In 2.87
Te (0.5000, 0.0000, 0.0000)  2 In 2.87
I (0.5000, 0.5000, 0.5000)  8 Te 3.84, 4 Co 4.06

* energy relative to the lowest polymorph listed for this composition: 709 meV/atom